Here is a relaxed structure of Ga2ReIr from Alexandria via LeMat-Bulk. Energies are from PBE-GGA.

Results
Distance to the lowest polymorph of the same formula = 511.1 meV per atom
Formation enthalpy at 0 K = 0.516 eV/atom

Cell lengths 7.019, 7.019, 5.270 Å; angles 90.00, 90.00, 90.00 degrees
Space group I-42d (No. 122)
Unique sites:
Ga1 0.238 0.750 0.125 [8 per cell]
Re1 0.000 0.000 0.500 [4 per cell]
Ir1 0.000 0.000 0.000 [4 per cell]


Here is a relaxed structure of Ga2ReIr2 from Alexandria via LeMat-Bulk. Energies are from PBE-GGA.

Results
Formation enthalpy at 0 K = 0.000 eV/atom

Cell lengths 7.237, 7.237, 2.809 Å; angles 90.00, 90.00, 90.00 degrees
Space group P4/mbm (No. 127)
Unique sites:
Ga1 0.131 0.369 0.000 [4 per cell]
Re1 0.000 0.000 0.000 [2 per cell]
Ir1 0.169 0.669 0.500 [4 per cell]


Here is a relaxed structure of GaReIr2 from Alexandria via LeMat-Bulk. Energies are from PBE-GGA.

Results
Formation enthalpy at 0 K = -0.268 eV/atom

Cell lengths 2.790, 2.790, 7.494 Å; angles 90.00, 90.00, 90.00 degrees
Space group P4/mmm (No. 123)
Unique sites:
Ga1 0.000 0.000 0.000 [1 per cell]
Re1 0.000 0.000 0.500 [1 per cell]
Ir1 0.500 0.500 0.250 [2 per cell]


What is the formation enthalpy at 0 K in the third record?
-0.268 eV/atom


Among the records above, which one has the highest formation enthalpy at 0 K?
Ga2ReIr


Which of these has the highest formation enthalpy at 0 K?
Ga2ReIr